DFT (PBE-GGA) results for a relaxed structure of IrPb4W.

The structure belongs to space group F-43m (No. 216); the cell edges are 8.6676, 8.6676 and 8.6676 Å and the angles 90.00°, 90.00° and 90.00°. Symmetry generates all atoms from Ir at (0.0000, 0.0000, 0.0000), Pb at (0.1251, 0.1251, 0.6251) and W at (0.2500, 0.2500, 0.2500).

The calculation puts the formation energy at 919.7 kJ/mol of formula units. The value obtained for the calculated total energy is -4.52 eV/atom. Its crystal system is cubic. As for the total magnetic moment: 0.717 μB per atom.


DFT (PBE-GGA) results for a relaxed structure of Ac4LaNi2.

The structure belongs to space group P2_1/m (No. 11); the cell edges are 7.5202, 7.3402 and 9.3619 Å and the angles 90.00°, 112.80° and 90.00°. Symmetry generates all atoms from Ac at (0.1750, 0.2500, 0.0041), Ac at (0.2154, 0.5021, 0.4257), Ac at (0.2670, 0.7500, 0.8007), La at (0.4954, 0.7500, 0.2170), Ni at (0.1315, 0.2500, 0.6573) and Ni at (0.4784, 0.2500, 0.3533).

The calculation puts the formation energy at -76.5 kJ/mol of formula units. The value obtained for the calculated total energy is -4.82 eV/atom. Its crystal system is monoclinic. As for the total magnetic moment: 0.000 μB per atom.


DFT (PBE-GGA) results for a relaxed structure of CePrSiGe.

The structure belongs to space group Amm2 (No. 38); the cell edges are 3.9991, 4.4806 and 11.0389 Å and the angles 90.00°, 90.00° and 90.00°. Symmetry generates all atoms from Ce at (0.0000, 0.0000, 0.0000), Pr at (0.5000, 0.0000, 0.2794), Si at (0.5000, 0.0000, 0.5606) and Ge at (0.0000, 0.0000, 0.7114).

The value obtained for the calculated total energy is -5.90 eV/atom. Its crystal system is orthorhombic. As for the total magnetic moment: 0.252 μB per atom.